1.
Entry from the Alexandria database: crystalline AlIrRu2 at its relaxed geometry (GGA-PBE).

Its size of the total moment is 0.00 μB per cell. The value obtained for the formation energy is -0.15 eV/atom. As for the mass density: 12.38 g cm⁻³.

It has space group R-3m (No. 166, hexagonal axes), with a = 2.7528 Å, b = 2.7528 Å, c = 25.8367 Å, α = 90.00°, β = 90.00° and γ = 120.00°. The asymmetric unit holds Al at (0.0000, 0.0000, 0.0000), Ir at (0.0000, 0.0000, 0.5000) and Ru at (0.0000, 0.0000, 0.2519).



2.
Entry from the Alexandria database: crystalline AlIr2Ru at its relaxed geometry (GGA-PBE).

Its size of the total moment is 1.12 μB per cell. The value obtained for the formation energy is -0.17 eV/atom. As for the mass density: 14.73 g cm⁻³.

It has space group P4/mmm (No. 123), with a = 4.531 Å, b = 4.531 Å, c = 2.814 Å, α = 90.00°, β = 90.00° and γ = 90.00°. The asymmetric unit holds Al at (0.000, 0.000, 0.000), Ir at (0.000, 0.500, 0.500) and Ru at (0.500, 0.500, 0.000).



3.
Entry from the Alexandria database: crystalline AlIr2Ru at its relaxed geometry (GGA-PBE).

Its size of the total moment is 0.00 μB per cell. The value obtained for the formation energy is -0.24 eV/atom. As for the mass density: 14.97 g cm⁻³.

It has space group Immm (No. 71), with a = 2.882 Å, b = 4.429 Å, c = 8.904 Å, α = 90.00°, β = 90.00° and γ = 90.00°. The asymmetric unit holds Al at (0.000, 0.000, 0.000), Ir at (0.000, 0.500, 0.272) and Ru at (0.000, 0.000, 0.500).



4.
Entry from the Alexandria database: crystalline AlIrRu2 at its relaxed geometry (GGA-PBE).

Its size of the total moment is 0.00 μB per cell. The value obtained for the formation energy is -0.16 eV/atom. As for the mass density: 12.37 g cm⁻³.

It has space group P2/m (No. 10), with a = 2.743 Å, b = 4.031 Å, c = 5.214 Å, α = 90.00°, β = 101.20° and γ = 90.00°. The asymmetric unit holds Al at (0.000, 0.000, 0.000), Ir at (0.000, 0.000, 0.500) and Ru at (0.396, 0.500, 0.244).